(1)
This record from Alexandria via LeMat-Bulk describes a geometry-optimized Na3Tb2RhO6 structure. The functional is PBE.

Values from the calculation:
Formation energy without anion corrections   -26.205 eV/f.u.
Magnetic moment   0.00 Bohr magnetons per cell
Crystal system   monoclinic

Cell: 5.718 5.718 5.903 Å, 99.05 99.05 119.98°
Atoms (fractional coordinates):
Tb: 0.667 0.333 0.000
Na: 0.846 0.154 0.500
O: 0.929 0.613 0.784
Na: 0.154 0.846 0.500
Tb: 0.333 0.667 0.000
O: 0.071 0.387 0.216
O: 0.752 0.752 0.212
O: 0.387 0.071 0.216
Na: 0.500 0.500 0.500
Rh: 0.000 0.000 0.000
O: 0.248 0.248 0.788
O: 0.613 0.929 0.784

(2)
This record from Alexandria via LeMat-Bulk describes a geometry-optimized Na3TcRh3O8 structure. The functional is PBE.

Values from the calculation:
Formation energy without anion corrections   -16.910 eV/f.u.
Magnetic moment   2.93 Bohr magnetons per cell
Crystal system   trigonal

Cell: 6.241 6.241 6.492 Å, 118.74 90.00 120.00°
Atoms (fractional coordinates):
O: 0.772 0.544 0.305
Rh: 0.000 0.500 0.500
O: 0.261 0.033 0.305
O: 0.228 0.967 0.695
Na: 0.000 0.000 0.000
Rh: 0.500 0.500 0.500
O: 0.772 0.033 0.305
O: 0.739 0.967 0.695
Na: 0.500 0.500 0.000
O: 0.732 0.463 0.695
Rh: 0.500 0.000 0.500
Tc: 0.000 0.000 0.500
Na: 0.000 0.500 0.000
O: 0.268 0.537 0.305
O: 0.228 0.456 0.695

(3)
This record from Alexandria via LeMat-Bulk describes a geometry-optimized Na2TcRh2O6 structure. The functional is PBE.

Values from the calculation:
Formation energy without anion corrections   -12.701 eV/f.u.
Magnetic moment   2.98 Bohr magnetons per cell
Crystal system   monoclinic

Cell: 5.395 5.395 5.756 Å, 99.52 99.52 120.22°
Atoms (fractional coordinates):
Rh: 0.665 0.335 0.500
Tc: 0.000 0.000 0.500
Na: 0.829 0.171 0.000
O: 0.743 0.743 0.695
O: 0.257 0.257 0.305
O: 0.936 0.603 0.308
Na: 0.171 0.829 0.000
O: 0.064 0.397 0.692
O: 0.397 0.064 0.692
Rh: 0.335 0.665 0.500
O: 0.603 0.936 0.308

(4)
This record from Alexandria via LeMat-Bulk describes a geometry-optimized Na2TeRhO6 structure. The functional is PBE.

Values from the calculation:
Formation energy without anion corrections   -9.834 eV/f.u.
Magnetic moment   1.11 Bohr magnetons per cell
Crystal system   tetragonal

Cell: 3.905 5.608 5.608 Å, 90.00 90.00 90.00°
Atoms (fractional coordinates):
O: 0.645 0.243 0.243
O: 0.145 0.000 0.000
O: 0.645 0.243 0.757
O: 0.645 0.757 0.243
O: 0.645 0.757 0.757
Te: 0.645 0.000 0.000
Na: 0.144 0.500 0.000
Na: 0.144 0.000 0.500
Rh: 0.644 0.500 0.500
O: 0.145 0.500 0.500

(5)
This record from Alexandria via LeMat-Bulk describes a geometry-optimized Na3TeRh3O8 structure. The functional is PBE.

Values from the calculation:
Formation energy without anion corrections   -14.744 eV/f.u.
Magnetic moment   0.00 Bohr magnetons per cell
Crystal system   trigonal

Cell: 6.372 6.373 6.565 Å, 119.04 90.00 120.00°
Atoms (fractional coordinates):
Na: 0.000 0.000 0.000
O: 0.762 0.037 0.299
Rh: 0.500 0.500 0.500
O: 0.238 0.476 0.701
O: 0.238 0.963 0.701
O: 0.725 0.963 0.701
Te: 0.000 0.000 0.500
Rh: 0.000 0.500 0.500
Na: 0.000 0.500 0.000
O: 0.762 0.524 0.299
Na: 0.500 0.500 0.000
O: 0.270 0.541 0.311
Rh: 0.500 0.000 0.500
O: 0.275 0.037 0.299
O: 0.730 0.459 0.689

(6)
This record from Alexandria via LeMat-Bulk describes a geometry-optimized NaTeRhO5 structure. The functional is PBE.

Values from the calculation:
Formation energy without anion corrections   -7.392 eV/f.u.
Magnetic moment   0.00 Bohr magnetons per cell
Crystal system   monoclinic

Cell: 5.850 5.850 7.327 Å, 102.60 102.60 108.50°
Atoms (fractional coordinates):
O: 0.765 0.630 0.445
Na: 0.678 0.322 0.750
O: 0.630 0.765 0.945
O: 0.370 0.235 0.055
Te: 0.313 0.687 0.750
O: 0.926 0.318 0.108
O: 0.925 0.075 0.750
O: 0.074 0.682 0.892
Te: 0.687 0.313 0.250
O: 0.682 0.074 0.392
O: 0.075 0.925 0.250
Rh: 0.000 0.000 0.000
Na: 0.322 0.678 0.250
O: 0.235 0.370 0.555
O: 0.318 0.926 0.608
Rh: 0.000 0.000 0.500

(7)
This record from Alexandria via LeMat-Bulk describes a geometry-optimized NaTe2RhO8 structure. The functional is PBE.

Values from the calculation:
Formation energy without anion corrections   -6.853 eV/f.u.
Magnetic moment   3.89 Bohr magnetons per cell
Crystal system   tetragonal

Cell: 6.125 6.125 6.125 Å, 106.77 106.77 115.01°
Atoms (fractional coordinates):
O: 0.878 0.677 0.201
Na: 0.000 0.000 0.000
Te: 0.500 0.500 0.000
O: 0.323 0.523 0.201
O: 0.942 0.257 0.315
Rh: 0.250 0.750 0.500
Te: 0.750 0.250 0.500
O: 0.323 0.122 0.799
O: 0.477 0.677 0.799
O: 0.373 0.058 0.315
O: 0.743 0.058 0.685
O: 0.942 0.627 0.685

(8)
This record from Alexandria via LeMat-Bulk describes a geometry-optimized NaThRhO4 structure. The functional is PBE.

Values from the calculation:
Formation energy without anion corrections   -14.860 eV/f.u.
Magnetic moment   0.00 Bohr magnetons per cell
Crystal system   orthorhombic

Cell: 6.592 6.560 7.431 Å, 124.50 90.00 120.16°
Atoms (fractional coordinates):
O: 0.706 0.992 0.746
Rh: 0.000 0.500 0.500
Na: 0.113 0.225 0.863
Rh: 0.500 0.500 0.500
Th: 0.500 0.000 0.000
Na: 0.887 0.775 0.137
O: 0.766 0.533 0.698
O: 0.234 0.467 0.666
O: 0.714 0.008 0.254
O: 0.766 0.533 0.334
O: 0.286 0.992 0.746
O: 0.294 0.008 0.254
O: 0.234 0.467 0.302
Th: 0.500 0.000 0.500

Number 1: E -6.3769 eV per atom, theoretical density 6.1 g/cm³. Number 2: E -6.1969 eV per atom, theoretical density 5.5 g/cm³. Number 3: E -6.3779 eV per atom, theoretical density 5.4 g/cm³. Number 4: E -5.2714 eV per atom, theoretical density 5.0 g/cm³. Number 5: E -5.5709 eV per atom, theoretical density 5.5 g/cm³. Number 6: E -5.4994 eV per atom, theoretical density 5.0 g/cm³. Number 7: E -5.1227 eV per atom, theoretical density 4.8 g/cm³. Number 8: E -7.2547 eV per atom, theoretical density 6.7 g/cm³.